Computed, not measured: crystalline PmSbHPt at its relaxed geometry at the PBE-GGA level of DFT.

a = 4.7464 Å, b = 4.7464 Å, c = 4.7464 Å
α = 60.00°, β = 60.00°, γ = 60.00°
Sites, in units of the cell vectors:
Pm 0.0000 0.0000 0.0000
Sb 0.5000 0.5000 0.5000
H 0.2500 0.2500 0.2500
Pt 0.7500 0.7500 0.7500

Computed properties:
Energy   -5.1178 eV/atom
Space-group type   F-43m
Calculated volume   75.6 Å³/cell
Total magnetization   0.00 μB/cell